Below is Tb2DyMg after structural relaxation, with properties calculated at the GGA-PBE level.

## Properties
**Energy above the most stable polymorph in this dataset**: 218 meV per atom
**Space group**: R-3m, No. 166
**DOS(E_F)**: 3.697 states/eV/cell

Cell: 12.4145 12.4145 12.4145 Å, 15.96 15.96 15.96°
Fractional coordinates of all 4 atoms:
1 Tb 0.0893 0.0893 0.0893
2 Tb 0.9107 0.9107 0.9107
3 Dy 0.5000 0.5000 0.5000
4 Mg 0.0000 0.0000 0.0000

***

Below is Tb7Dy2Mg2 after structural relaxation, with properties calculated at the GGA-PBE level.

## Properties
**Energy above the most stable polymorph in this dataset**: 146 meV per atom
**Space group**: C2/m, No. 12
**DOS(E_F)**: 13.793 states/eV/cell

Cell: 8.0732 8.0732 5.6970 Å, 105.62 105.62 86.87°
Fractional coordinates of all 11 atoms:
1 Tb 0.0000 0.0000 0.0000
2 Tb 0.0172 0.6011 0.8156
3 Tb 0.2259 0.2259 0.6635
4 Tb 0.3989 0.9828 0.1844
5 Tb 0.6011 0.0172 0.8156
6 Tb 0.7741 0.7741 0.3365
7 Tb 0.9828 0.3989 0.1844
8 Dy 0.2210 0.7790 0.5000
9 Dy 0.7790 0.2210 0.5000
10 Mg 0.4377 0.4377 0.2168
11 Mg 0.5623 0.5623 0.7832

***

Below is TbDy14Mg after structural relaxation, with properties calculated at the GGA-PBE level.

## Properties
**Space group**: Amm2, No. 38
**DOS(E_F)**: 19.893 states/eV/cell
**Final energy**: -4.40 eV per atom

Cell: 9.9798 7.0458 7.0458 Å, 90.00 90.00 90.00°
Fractional coordinates of all 16 atoms:
1 Tb 0.0000 0.0000 0.0000
2 Dy 0.0000 0.9999 0.5000
3 Dy 0.0000 0.5000 0.9999
4 Dy 0.2493 0.2490 0.2490
5 Dy 0.2494 0.2489 0.7510
6 Dy 0.2494 0.7510 0.2489
7 Dy 0.2494 0.7510 0.7510
8 Dy 0.5000 0.0000 0.0000
9 Dy 0.5000 0.0000 0.5000
10 Dy 0.5000 0.5000 0.0000
11 Dy 0.5000 0.5000 0.5000
12 Dy 0.7507 0.2490 0.2490
13 Dy 0.7506 0.2489 0.7510
14 Dy 0.7506 0.7510 0.2489
15 Dy 0.7506 0.7510 0.7510
16 Mg 0.0000 0.4993 0.4993

***

Below is Tb3Dy2Mg after structural relaxation, with properties calculated at the GGA-PBE level.

## Properties
**Energy above the most stable polymorph in this dataset**: 16 meV per atom
**Space group**: P-1, No. 2
**DOS(E_F)**: 16.002 states/eV/cell

Cell: 6.6890 6.6915 9.2676 Å, 75.68 75.69 68.33°
Fractional coordinates of all 12 atoms:
1 Tb 0.0731 0.0718 0.2097
2 Tb 0.2498 0.2501 0.4999
3 Tb 0.4077 0.9072 0.8681
4 Tb 0.5923 0.0928 0.1319
5 Tb 0.7502 0.7499 0.5001
6 Tb 0.9269 0.9282 0.7903
7 Dy 0.0915 0.5913 0.1324
8 Dy 0.4278 0.4264 0.7912
9 Dy 0.5722 0.5736 0.2088
10 Dy 0.9085 0.4087 0.8676
11 Mg 0.2510 0.7487 0.5005
12 Mg 0.7490 0.2513 0.4995

***

Below is Tb5Dy4Mg2 after structural relaxation, with properties calculated at the GGA-PBE level.

## Properties
**Energy above the most stable polymorph in this dataset**: 203 meV per atom
**Space group**: Immm, No. 71
**DOS(E_F)**: 18.799 states/eV/cell

Cell: 12.4301 12.4301 12.4301 Å, 164.21 138.40 44.76°
Fractional coordinates of all 11 atoms:
1 Tb 0.0000 0.0000 0.0000
2 Tb 0.0574 0.3594 0.6980
3 Tb 0.3386 0.6406 0.6980
4 Tb 0.6614 0.3594 0.3020
5 Tb 0.9426 0.6406 0.3020
6 Dy 0.2680 0.7680 0.5000
7 Dy 0.3194 0.5000 0.8194
8 Dy 0.6806 0.5000 0.1806
9 Dy 0.7320 0.2320 0.5000
10 Mg 0.4018 0.9018 0.5000
11 Mg 0.5982 0.0982 0.5000

***

Below is Tb4Dy7Mg after structural relaxation, with properties calculated at the GGA-PBE level.

## Properties
**Space group**: C2/m, No. 12
**DOS(E_F)**: 18.812 states/eV/cell
**Final energy**: -4.10 eV per atom

Cell: 6.6689 6.6689 12.5440 Å, 113.93 113.93 51.41°
Fractional coordinates of all 12 atoms:
1 Tb 0.1299 0.1299 0.2702
2 Tb 0.3215 0.3215 0.8555
3 Tb 0.6785 0.6785 0.1445
4 Tb 0.8701 0.8701 0.7298
5 Dy 0.0000 0.0000 0.5000
6 Dy 0.1337 0.1337 0.9842
7 Dy 0.2974 0.2974 0.5738
8 Dy 0.4100 0.4100 0.2194
9 Dy 0.5900 0.5900 0.7806
10 Dy 0.7026 0.7026 0.4262
11 Dy 0.8663 0.8663 0.0158
12 Mg 0.5000 0.5000 0.5000

***

Below is Tb2Dy8Mg after structural relaxation, with properties calculated at the GGA-PBE level.

## Properties
**Energy above the most stable polymorph in this dataset**: 0 meV per atom
**Space group**: C2/m, No. 12
**DOS(E_F)**: 16.310 states/eV/cell

Cell: 8.7291 8.7291 6.6566 Å, 100.74 100.74 44.31°
Fractional coordinates of all 11 atoms:
1 Tb 0.1865 0.1865 0.2945
2 Tb 0.8135 0.8135 0.7055
3 Dy 0.1788 0.6587 0.1135
4 Dy 0.2455 0.2455 0.8151
5 Dy 0.3413 0.8212 0.8865
6 Dy 0.4049 0.4049 0.5839
7 Dy 0.5951 0.5951 0.4161
8 Dy 0.6587 0.1788 0.1135
9 Dy 0.7545 0.7545 0.1849
10 Dy 0.8212 0.3413 0.8865
11 Mg 0.0000 0.0000 0.5000

***

Below is TbDy2Mg6 after structural relaxation, with properties calculated at the GGA-PBE level.

## Properties
**Space group**: P6/mmm, No. 191
**DOS(E_F)**: 4.360 states/eV/cell
**Final energy**: -2.67 eV per atom

Cell: 9.0691 9.0691 3.2860 Å, 90.00 90.00 120.00°
Fractional coordinates of all 9 atoms:
1 Tb 0.0000 0.0000 0.0000
2 Dy 0.3333 0.6667 0.0000
3 Dy 0.6667 0.3333 0.0000
4 Mg 0.0000 0.3339 0.5000
5 Mg 0.0000 0.6661 0.5000
6 Mg 0.3339 0.0000 0.5000
7 Mg 0.3339 0.3339 0.5000
8 Mg 0.6661 0.0000 0.5000
9 Mg 0.6661 0.6661 0.5000

***

Below is Tb9Dy2Mg after structural relaxation, with properties calculated at the GGA-PBE level.

## Properties
**Space group**: P4/mmm, No. 123
**DOS(E_F)**: 17.067 states/eV/cell
**Final energy**: -4.35 eV per atom

Cell: 4.9888 4.9888 15.0453 Å, 90.00 90.00 90.00°
Fractional coordinates of all 12 atoms:
1 Tb 0.0000 0.0000 0.0000
2 Tb 0.0000 0.0000 0.3295
3 Tb 0.0000 0.0000 0.6705
4 Tb 0.0000 0.5000 0.1644
5 Tb 0.0000 0.5000 0.5000
6 Tb 0.0000 0.5000 0.8356
7 Tb 0.5000 0.0000 0.1644
8 Tb 0.5000 0.0000 0.5000
9 Tb 0.5000 0.0000 0.8356
10 Dy 0.5000 0.5000 0.3314
11 Dy 0.5000 0.5000 0.6686
12 Mg 0.5000 0.5000 0.0000

***

Below is Tb5Dy8Mg after structural relaxation, with properties calculated at the GGA-PBE level.

## Properties
**Space group**: I-4, No. 82
**DOS(E_F)**: 18.373 states/eV/cell
**Final energy**: -4.16 eV per atom

Cell: 8.3974 8.3974 8.3974 Å, 110.46 110.46 107.51°
Fractional coordinates of all 14 atoms:
1 Tb 0.0000 0.0000 0.0000
2 Tb 0.2119 0.5246 0.8956
3 Tb 0.4754 0.3710 0.6872
4 Tb 0.6290 0.3163 0.1044
5 Tb 0.6837 0.7881 0.3128
6 Dy 0.1577 0.0647 0.7295
7 Dy 0.3352 0.4282 0.2705
8 Dy 0.4183 0.0227 0.2582
9 Dy 0.5718 0.8423 0.9069
10 Dy 0.7645 0.1601 0.7418
11 Dy 0.8399 0.5817 0.6045
12 Dy 0.9353 0.6648 0.0931
13 Dy 0.9773 0.2355 0.3955
14 Mg 0.2500 0.7500 0.5000

***

Below is Tb2Dy5Mg after structural relaxation, with properties calculated at the GGA-PBE level.

## Properties
**Energy above the most stable polymorph in this dataset**: 18 meV per atom
**Space group**: I4/mmm, No. 139
**DOS(E_F)**: 7.460 states/eV/cell

Cell: 7.0155 7.0155 7.0155 Å, 120.08 120.08 89.86°
Fractional coordinates of all 8 atoms:
1 Tb 0.0000 0.5000 0.5000
2 Tb 0.5000 0.0000 0.5000
3 Dy 0.0000 0.0000 0.0000
4 Dy 0.0000 0.0000 0.5000
5 Dy 0.0000 0.5000 0.0000
6 Dy 0.5000 0.0000 0.0000
7 Dy 0.5000 0.5000 0.5000
8 Mg 0.5000 0.5000 0.0000

***

Below is Tb2Dy8Mg after structural relaxation, with properties calculated at the GGA-PBE level.

## Properties
**Energy above the most stable polymorph in this dataset**: 36 meV per atom
**Space group**: C2/m, No. 12
**DOS(E_F)**: 15.380 states/eV/cell

Cell: 9.3590 9.3590 6.3830 Å, 109.05 109.05 41.44°
Fractional coordinates of all 11 atoms:
1 Tb 0.2260 0.2260 0.1188
2 Tb 0.7740 0.7740 0.8812
3 Dy 0.0711 0.0711 0.2499
4 Dy 0.1594 0.6468 0.2865
5 Dy 0.2973 0.2973 0.6861
6 Dy 0.3532 0.8406 0.7135
7 Dy 0.6468 0.1594 0.2865
8 Dy 0.7027 0.7027 0.3139
9 Dy 0.8406 0.3532 0.7135
10 Dy 0.9289 0.9289 0.7501
11 Mg 0.5000 0.5000 0.0000